Entry 1:
Entry from Alexandria via LeMat-Bulk: a relaxed Dy3Ga4Hg2 crystal (PBE-GGA).

The structure in CIF format:
```
data_Dy3Ga4Hg2
_symmetry_space_group_name_H-M 'P 1'
_symmetry_Int_Tables_number 1
_cell_length_a 4.551
_cell_length_b 5.868
_cell_length_c 8.652
_cell_angle_alpha 110.83
_cell_angle_beta 90.00
_cell_angle_gamma 112.82
loop_
_symmetry_equiv_pos_as_xyz
'x,y,z'
loop_
_atom_site_label
_atom_site_fract_x
_atom_site_fract_y
_atom_site_fract_z
Dy1 0.660 0.320 0.672
Dy2 0.000 0.000 0.000
Dy3 0.340 0.680 0.328
Ga1 0.738 0.475 0.062
Ga2 0.262 0.525 0.938
Ga3 0.948 0.897 0.611
Ga4 0.052 0.103 0.389
Hg1 0.625 0.250 0.287
Hg2 0.375 0.750 0.713
```

Symmetry: C2/m, No. 12
ΔH_f (0 K): -0.529 eV per atom

Entry 2:
Entry from Alexandria via LeMat-Bulk: a relaxed Dy12Ga2Hg5 crystal (PBE-GGA).

The structure in CIF format:
```
data_Dy12Ga2Hg5
_symmetry_space_group_name_H-M 'P 1'
_symmetry_Int_Tables_number 1
_cell_length_a 7.692
_cell_length_b 8.790
_cell_length_c 9.075
_cell_angle_alpha 91.22
_cell_angle_beta 90.00
_cell_angle_gamma 115.95
loop_
_symmetry_equiv_pos_as_xyz
'x,y,z'
loop_
_atom_site_label
_atom_site_fract_x
_atom_site_fract_y
_atom_site_fract_z
Dy1 0.960 0.920 0.169
Dy2 0.051 0.656 0.869
Dy3 0.605 0.656 0.869
Dy4 0.119 0.716 0.439
Dy5 0.597 0.716 0.439
Dy6 0.477 0.953 0.704
Dy7 0.523 0.047 0.296
Dy8 0.881 0.284 0.561
Dy9 0.403 0.284 0.561
Dy10 0.949 0.344 0.131
Dy11 0.395 0.344 0.131
Dy12 0.040 0.080 0.831
Ga1 0.677 0.000 0.000
Ga2 0.323 0.000 0.000
Hg1 0.270 0.540 0.659
Hg2 0.342 0.683 0.136
Hg3 0.000 0.000 0.500
Hg4 0.658 0.317 0.864
Hg5 0.730 0.460 0.341
```

Symmetry: C2/m, No. 12
ΔH_f (0 K): -0.198 eV per atom

Entry 3:
Entry from Alexandria via LeMat-Bulk: a relaxed Dy5Ga2Hg2 crystal (PBE-GGA).

The structure in CIF format:
```
data_Dy5Ga2Hg2
_symmetry_space_group_name_H-M 'P 1'
_symmetry_Int_Tables_number 1
_cell_length_a 7.598
_cell_length_b 7.654
_cell_length_c 8.947
_cell_angle_alpha 115.32
_cell_angle_beta 90.00
_cell_angle_gamma 90.00
loop_
_symmetry_equiv_pos_as_xyz
'x,y,z'
loop_
_atom_site_label
_atom_site_fract_x
_atom_site_fract_y
_atom_site_fract_z
Dy1 0.000 0.000 0.000
Dy2 0.500 0.500 0.000
Dy3 0.825 0.815 0.264
Dy4 0.175 0.449 0.264
Dy5 0.325 0.949 0.264
Dy6 0.675 0.315 0.264
Dy7 0.175 0.185 0.736
Dy8 0.825 0.551 0.736
Dy9 0.675 0.051 0.736
Dy10 0.325 0.685 0.736
Ga1 0.620 0.880 0.000
Ga2 0.380 0.120 0.000
Ga3 0.120 0.620 0.000
Ga4 0.880 0.380 0.000
Hg1 0.000 0.216 0.433
Hg2 0.500 0.716 0.433
Hg3 0.000 0.784 0.567
Hg4 0.500 0.284 0.567
```

Symmetry: Cmce, No. 64
ΔH_f (0 K): -0.505 eV per atom

Entry 4:
Entry from Alexandria via LeMat-Bulk: a relaxed Dy4GaHg crystal (PBE-GGA).

The structure in CIF format:
```
data_Dy4GaHg
_symmetry_space_group_name_H-M 'P 1'
_symmetry_Int_Tables_number 1
_cell_length_a 3.725
_cell_length_b 8.593
_cell_length_c 20.218
_cell_angle_alpha 90.00
_cell_angle_beta 90.00
_cell_angle_gamma 90.00
loop_
_symmetry_equiv_pos_as_xyz
'x,y,z'
loop_
_atom_site_label
_atom_site_fract_x
_atom_site_fract_y
_atom_site_fract_z
Dy1 0.750 0.856 0.667
Dy2 0.250 0.144 0.333
Dy3 0.250 0.644 0.167
Dy4 0.750 0.356 0.833
Dy5 0.750 0.875 0.433
Dy6 0.250 0.125 0.567
Dy7 0.250 0.625 0.933
Dy8 0.750 0.375 0.067
Dy9 0.750 0.967 0.925
Dy10 0.250 0.033 0.075
Dy11 0.250 0.533 0.425
Dy12 0.750 0.467 0.575
Dy13 0.750 0.974 0.216
Dy14 0.250 0.026 0.784
Dy15 0.250 0.526 0.716
Dy16 0.750 0.474 0.284
Ga1 0.750 0.724 0.812
Ga2 0.250 0.276 0.188
Ga3 0.250 0.776 0.312
Ga4 0.750 0.224 0.688
Hg1 0.750 0.242 0.451
Hg2 0.250 0.758 0.549
Hg3 0.250 0.258 0.951
Hg4 0.750 0.742 0.049
```

Symmetry: Pnma, No. 62
Energy above the lowest structure with this stoichiometry: 0.0 meV per atom
ΔH_f (0 K): -0.328 eV per atom

Entry 5:
Entry from Alexandria via LeMat-Bulk: a relaxed Dy2GaHg4 crystal (PBE-GGA).

The structure in CIF format:
```
data_Dy2GaHg4
_symmetry_space_group_name_H-M 'P 1'
_symmetry_Int_Tables_number 1
_cell_length_a 5.162
_cell_length_b 5.162
_cell_length_c 7.890
_cell_angle_alpha 70.91
_cell_angle_beta 70.91
_cell_angle_gamma 60.00
loop_
_symmetry_equiv_pos_as_xyz
'x,y,z'
loop_
_atom_site_label
_atom_site_fract_x
_atom_site_fract_y
_atom_site_fract_z
Hg1 0.864 0.864 0.407
Hg2 0.136 0.136 0.593
Hg3 0.575 0.575 0.276
Hg4 0.425 0.425 0.724
Ga1 0.000 0.000 0.000
Dy1 0.719 0.719 0.842
Dy2 0.281 0.281 0.158
```

Symmetry: R-3m, No. 166
ΔH_f (0 K): -0.319 eV per atom

Entry 6:
Entry from Alexandria via LeMat-Bulk: a relaxed Dy2GaHg crystal (PBE-GGA).

The structure in CIF format:
```
data_Dy2GaHg
_symmetry_space_group_name_H-M 'P 1'
_symmetry_Int_Tables_number 1
_cell_length_a 3.614
_cell_length_b 3.614
_cell_length_c 7.439
_cell_angle_alpha 90.00
_cell_angle_beta 90.00
_cell_angle_gamma 90.00
loop_
_symmetry_equiv_pos_as_xyz
'x,y,z'
loop_
_atom_site_label
_atom_site_fract_x
_atom_site_fract_y
_atom_site_fract_z
Hg1 0.500 0.500 0.500
Ga1 0.500 0.500 0.000
Dy1 0.000 0.000 0.764
Dy2 0.000 0.000 0.236
```

Symmetry: P4/mmm, No. 123
ΔH_f (0 K): -0.532 eV per atom

- Which of these has the lowest ΔH_f (0 K)?
  Dy2GaHg